Entry 1:
RbCaCrCl2: relaxed, PBE-GGA.

a = 5.428 Å, b = 6.330 Å, c = 5.428 Å
α = 90.00°, β = 90.00°, γ = 90.00°
Last column: magnetic moment on the atom in μB.
Fractional positions:
Cl1 0.500 0.000 0.000  0.01
Cr1 0.000 0.500 0.000  4.25
Rb1 0.500 0.500 0.500  0.01
Ca1 0.000 0.000 0.000  0.01
Cl2 0.000 0.000 0.500  0.01

Output
**Density of states at the Fermi level**: 0.000 states/eV per atom
**SG**: No. 123



Entry 2:
RbCa2CrCl8: relaxed, PBE-GGA.

a = 6.358 Å, b = 6.208 Å, c = 8.643 Å
α = 89.93°, β = 89.96°, γ = 88.53°
Last column: magnetic moment on the atom in μB.
Fractional positions:
Cr1 0.000 0.000 0.000  2.86
Cl1 0.161 0.780 0.809  -0.01
Cl2 0.607 0.730 0.500  0.00
Rb1 0.000 0.000 0.500  0.00
Cl3 0.839 0.220 0.191  -0.01
Ca1 0.500 0.500 0.245  0.00
Cl4 0.160 0.779 0.191  -0.01
Ca2 0.500 0.500 0.755  0.00
Cl5 0.840 0.221 0.809  -0.01
Cl6 0.393 0.270 0.500  0.00
Cl7 0.302 0.240 0.000  -0.02
Cl8 0.698 0.760 0.000  -0.02

Output
**SG**: No. 2



Number 1: total magnetization 1.00 μB per atom, ΔE_f (raw) -0.783 eV/atom. Number 2: total magnetization 0.25 μB per atom, ΔE_f (raw) -1.813 eV/atom.